# CsPPtCl2 | Alexandria | PBEsol | relaxed
# Calculated volume = 124.1 Å³/cell
# D(E_F) = 1.84 states/eV/cell
# Raw formation energy = -0.603 eV per atom
data_CsPPtCl2
_chemical_formula_sum 'Cs1 P1 Pt1 Cl2'
_cell_length_a 5.292
_cell_length_b 5.292
_cell_length_c 4.430
_cell_angle_alpha 90.00
_cell_angle_beta 90.00
_cell_angle_gamma 90.00
_symmetry_space_group_name_H-M 'P 4/m m m'
_symmetry_Int_Tables_number 123
_symmetry_space_group_name_Hall '-P 4 2'
loop_
_atom_site_label
_atom_site_fract_x
_atom_site_fract_y
_atom_site_fract_z
_atom_site_occupancy
Cs1 0.000 0.000 0.000 1
P1 0.500 0.500 0.500 1
Pt1 0.500 0.500 0.000 1
Cl1 0.000 0.500 0.500 1

=====

# RbAu | Alexandria | PBEsol | relaxed
# Calculated volume = 275.1 Å³/cell
# ΔH_f (0 K) = -169.7 meV/atom
# D(E_F) = 0.26 states/eV/cell
data_RbAu
_chemical_formula_sum 'Rb4 Au4'
_cell_length_a 4.790
_cell_length_b 11.975
_cell_length_c 4.796
_cell_angle_alpha 90.00
_cell_angle_beta 90.00
_cell_angle_gamma 90.00
_symmetry_space_group_name_H-M 'C m c m'
_symmetry_Int_Tables_number 63
_symmetry_space_group_name_Hall '-C 2c 2'
loop_
_atom_site_label
_atom_site_fract_x
_atom_site_fract_y
_atom_site_fract_z
_atom_site_occupancy
Rb1 0.000 0.144 0.250 1
Au1 0.000 0.440 0.250 1

=====

no.,spin magnetization (μB/f.u.)
1,0.0
2,0.0